1.
Here is crystalline Sc4Te2Pb at its relaxed geometry from Alexandria. Energies are from PBE.

Unit cell a=9.139 b=9.139 c=8.894 alpha=90.00 beta=90.00 gamma=90.00
Space group I4_1/amd (No. 141, origin choice 2)
Unique sites:
Sc 0.000 0.063 0.180 (multiplicity 16)
Te 0.000 0.000 0.500 (multiplicity 8)
Pb 0.000 0.250 0.875 (multiplicity 4)

Summary:
raw formation energy	-0.670	eV/atom
D(E_F)	1.120	states/eV/atom
E	-5.72	eV per atom

***

2.
Here is crystalline Sc2Te4Pb at its relaxed geometry from Alexandria. Energies are from PBE.

Unit cell a=4.232 b=13.973 c=14.654 alpha=90.00 beta=90.00 gamma=90.00
Space group Cmcm (No. 63)
Unique sites:
Sc 0.000 0.137 0.063 (multiplicity 8)
Te 0.000 0.064 0.250 (multiplicity 4)
Te 0.000 0.230 0.615 (multiplicity 8)
Te 0.000 0.500 0.000 (multiplicity 4)
Pb 0.000 0.402 0.250 (multiplicity 4)

Summary:
raw formation energy	-0.945	eV/atom
D(E_F)	0.002	states/eV/atom
E	-5.08	eV per atom

***

3.
Here is crystalline Sc2TePb at its relaxed geometry from Alexandria. Energies are from PBE.

Unit cell a=7.139 b=7.939 c=3.645 alpha=90.00 beta=104.86 gamma=90.00
Space group C2/m (No. 12)
Unique sites:
Sc 0.250 0.250 0.000 (multiplicity 4)
Te 0.000 0.000 0.500 (multiplicity 2)
Pb 0.000 0.500 0.500 (multiplicity 2)

Summary:
raw formation energy	-0.569	eV/atom
D(E_F)	0.809	states/eV/atom
E	-5.45	eV per atom

***

4.
Here is crystalline Sc3TePb at its relaxed geometry from Alexandria. Energies are from PBE.

Unit cell a=4.167 b=8.205 c=9.905 alpha=107.80 beta=90.09 gamma=104.64
Space group P-1 (No. 2)
Unique sites:
Sc 0.016 0.032 0.160 (multiplicity 2)
Sc 0.182 0.362 0.559 (multiplicity 2)
Sc 0.361 0.721 0.957 (multiplicity 2)
Te 0.164 0.330 0.838 (multiplicity 2)
Pb 0.378 0.757 0.654 (multiplicity 2)

Summary:
raw formation energy	-0.366	eV/atom
D(E_F)	1.156	states/eV/atom
E	-5.54	eV per atom